[1]
A relaxed structure of AcHfPaO6. Source: the Alexandria database, functional GGA-PBE.

Calculated values
final energy	-9.4139	eV per atom
DOS at the Fermi energy	0.00	states/eV/cell

a = 5.201 Å, b = 5.201 Å, c = 10.638 Å
α = 90.00°, β = 90.00°, γ = 90.00°
Space group P4_2nm (No. 102)
One atom of each set of equivalent atoms:
Ac 0.000 0.000 0.000 x2
Hf 0.000 0.000 0.332 x2
Pa 0.000 0.000 0.665 x2
O 0.170 0.170 0.492 x4
O 0.202 0.202 0.189 x4
O 0.212 0.212 0.811 x4



[2]
A relaxed structure of CoRuIN2. Source: the Alexandria database, functional GGA-PBE.

Calculated values
final energy	-5.7924	eV per atom
DOS at the Fermi energy	4.34	states/eV/cell

a = 3.788 Å, b = 3.788 Å, c = 5.980 Å
α = 90.00°, β = 90.00°, γ = 90.00°
Space group P4/mmm (No. 123)
One atom of each set of equivalent atoms:
Co 0.000 0.000 0.000 x1
Ru 0.500 0.500 0.500 x1
I 0.500 0.500 0.000 x1
N 0.000 0.500 0.500 x2



[3]
A relaxed structure of SrSm2MgHg4. Source: the Alexandria database, functional GGA-PBE.

Calculated values
energy relative to the elements	-3.52	eV per formula unit
DOS at the Fermi energy	16.29	states/eV/cell

a = 5.2809 Å, b = 5.2809 Å, c = 26.6939 Å
α = 90.00°, β = 90.00°, γ = 120.00°
Space group R-3m (No. 166, hexagonal axes)
One atom of each set of equivalent atoms:
Sr 0.0000 0.0000 0.0000 x3
Sm 0.0000 0.0000 0.2434 x6
Mg 0.0000 0.0000 0.5000 x3
Hg 0.0000 0.0000 0.1258 x6
Hg 0.0000 0.0000 0.3818 x6



[4]
A relaxed structure of Th6Os2RhS3. Source: the Alexandria database, functional GGA-PBE.

Calculated values
final energy	-8.3645	eV per atom
DOS at the Fermi energy	15.54	states/eV/cell

a = 18.502 Å, b = 4.078 Å, c = 8.548 Å
α = 90.00°, β = 107.21°, γ = 90.00°
Space group C2/m (No. 12)
One atom of each set of equivalent atoms:
Th 0.006 0.000 0.240 x4
Th 0.163 0.500 0.099 x4
Th 0.172 0.500 0.569 x4
Os 0.166 0.000 0.331 x4
Rh 0.000 0.500 0.000 x2
S 0.000 0.500 0.500 x2
S 0.166 0.000 0.833 x4